DFT (PBE) results for LaDy3Er2 after structural relaxation.

Cell and atoms, written as CIF:
```
data_LaDy3Er2
_space_group_name_H-M_alt 'P 1'
_space_group_IT_number 1
_cell_length_a 11.120
_cell_length_b 11.120
_cell_length_c 11.377
_cell_angle_alpha 120.59
_cell_angle_beta 120.59
_cell_angle_gamma 18.86
loop_
_space_group_symop_operation_xyz
'x,y,z'
loop_
_atom_site_label
_atom_site_type_symbol
_atom_site_fract_x
_atom_site_fract_y
_atom_site_fract_z
La1 La 0.110 0.110 0.486
La2 La 0.890 0.890 0.514
Dy1 Dy 0.112 0.112 0.987
Dy2 Dy 0.222 0.222 0.344
Dy3 Dy 0.445 0.445 0.824
Dy4 Dy 0.555 0.555 0.176
Dy5 Dy 0.778 0.778 0.656
Dy6 Dy 0.888 0.888 0.013
Er1 Er 0.223 0.223 0.851
Er2 Er 0.442 0.442 0.311
Er3 Er 0.558 0.558 0.689
Er4 Er 0.777 0.777 0.149
```

- calculated volume (Å³/f.u.) = 194.8
- space-group type = C2/m (12)
- calculated total energy (eV for the cell shown) = -55.49
- formation energy (eV per atom) = 0.02